1.
Material: BaHg2GeSb
Method: DFT, GGA-PBE
State: relaxed

abc: 5.3941 5.3941 5.6856
angles: 90.00 90.00 90.00
Positions (direct):
Ba: 0.0000 0.0000 0.0000
Hg: 0.0000 0.5000 0.5000
Hg: 0.5000 0.0000 0.5000
Ge: 0.5000 0.5000 0.5000
Sb: 0.5000 0.5000 0.0000

Properties
- N(E_F): 0.517 states/eV/atom
- Uncorrected formation energy: -0.223 eV/atom
- Spin magnetization: 0.00 μB per formula unit
- Space-group type: P4/mmm
- ρ: 7.357 g/cm3

---

2.
Material: Ba2Sn3Hg4Ge
Method: DFT, GGA-PBE
State: relaxed

abc: 5.0440 5.0440 11.6842
angles: 90.00 90.00 90.00
Positions (direct):
Ba: 0.0000 0.5000 0.2488
Ba: 0.5000 0.0000 0.7512
Sn: 0.0000 0.0000 0.0000
Sn: 0.0000 0.5000 0.6323
Sn: 0.5000 0.0000 0.3677
Hg: 0.0000 0.0000 0.5000
Hg: 0.0000 0.5000 0.8748
Hg: 0.5000 0.0000 0.1252
Hg: 0.5000 0.5000 0.5000
Ge: 0.5000 0.5000 0.0000

Properties
- N(E_F): 0.383 states/eV/atom
- Spin magnetization: 0.00 μB per formula unit
- Space-group type: P-4m2
- Formation energy from the elements: -0.35 eV per atom
- ρ: 8.411 g/cm3

---

3.
Material: BaSnHgGe
Method: DFT, GGA-PBE
State: relaxed

abc: 5.4999 5.4999 5.4999
angles: 60.00 60.00 60.00
Positions (direct):
Ba: 0.0000 0.0000 0.0000
Sn: 0.5000 0.5000 0.5000
Hg: 0.7500 0.7500 0.7500
Ge: 0.2500 0.2500 0.2500

Properties
- N(E_F): 0.583 states/eV/atom
- Spin magnetization: 0.00 μB per formula unit
- Space-group type: F-43m
- Formation energy from the elements: -0.26 eV per atom
- ρ: 7.471 g/cm3

---

4.
Material: Ba2Sn4Hg3Ge
Method: DFT, GGA-PBE
State: relaxed

abc: 5.1718 5.1718 11.3390
angles: 90.00 90.00 90.00
Positions (direct):
Ba: 0.0000 0.5000 0.2372
Ba: 0.5000 0.0000 0.7628
Sn: 0.0000 0.0000 0.5000
Sn: 0.0000 0.5000 0.8855
Sn: 0.5000 0.0000 0.1145
Sn: 0.5000 0.5000 0.5000
Hg: 0.0000 0.0000 0.0000
Hg: 0.0000 0.5000 0.6353
Hg: 0.5000 0.0000 0.3647
Ge: 0.5000 0.5000 0.0000

Properties
- N(E_F): 0.387 states/eV/atom
- Spin magnetization: 0.00 μB per formula unit
- Space-group type: P-4m2
- Formation energy from the elements: -0.36 eV per atom
- ρ: 7.796 g/cm3

---

5.
Material: BaSnHgGe2
Method: DFT, GGA-PBE
State: relaxed

abc: 5.8617 5.8617 6.0452
angles: 90.00 90.00 90.00
Positions (direct):
Ba: 0.0000 0.0000 0.0000
Sn: 0.5000 0.5000 0.5000
Hg: 0.0000 0.0000 0.5000
Ge: 0.0000 0.5000 0.0000
Ge: 0.5000 0.0000 0.0000

Properties
- N(E_F): 1.098 states/eV/atom
- Spin magnetization: 0.00 μB per formula unit
- Space-group type: P4/mmm
- Formation energy from the elements: 0.95 eV per atom
- ρ: 4.812 g/cm3

---

6.
Material: Ba2SnHg6Ge
Method: DFT, GGA-PBE
State: relaxed

abc: 6.3060 9.5899 10.3669
angles: 90.00 90.00 90.00
Positions (direct):
Ba: 0.2500 0.9998 0.2429
Ba: 0.2500 0.5002 0.2429
Ba: 0.7500 0.0002 0.7571
Ba: 0.7500 0.4998 0.7571
Sn: 0.2500 0.2500 0.7850
Sn: 0.7500 0.7500 0.2150
Hg: 0.0023 0.2500 0.5036
Hg: 0.0034 0.7500 0.9864
Hg: 0.2500 0.5063 0.6145
Hg: 0.2500 0.9937 0.6145
Hg: 0.4966 0.7500 0.9864
Hg: 0.4977 0.2500 0.5036
Hg: 0.5023 0.7500 0.4964
Hg: 0.5034 0.2500 0.0136
Hg: 0.7500 0.0063 0.3855
Hg: 0.7500 0.4937 0.3855
Hg: 0.9966 0.2500 0.0136
Hg: 0.9977 0.7500 0.4964
Ge: 0.2500 0.7500 0.7734
Ge: 0.7500 0.2500 0.2266

Properties
- N(E_F): 0.423 states/eV/atom
- Spin magnetization: 0.00 μB per formula unit
- Space-group type: Pmmn
- Formation energy from the elements: -0.25 eV per atom
- ρ: 8.844 g/cm3

---

7.
Material: BaTcHgGe2
Method: DFT, GGA-PBE
State: relaxed

abc: 5.8487 5.8487 5.3960
angles: 90.00 90.00 90.00
Positions (direct):
Ba: 0.0000 0.0000 0.0000
Tc: 0.0000 0.0000 0.5000
Hg: 0.5000 0.5000 0.5000
Ge: 0.0000 0.5000 0.0000
Ge: 0.5000 0.0000 0.0000

Properties
- N(E_F): 1.044 states/eV/atom
- Spin magnetization: 2.60 μB per formula unit
- Space-group type: P4/mmm
- Offset from the most stable computed form: 2043 meV/atom
- Formation energy from the elements: 1.81 eV per atom
- ρ: 5.229 g/cm3

---

8.
Material: BaTcHgGe2
Method: DFT, GGA-PBE
State: relaxed

abc: 4.8669 4.8669 5.3864
angles: 90.00 90.00 90.00
Positions (direct):
Ba: 0.0000 0.0000 0.0000
Tc: 0.5000 0.5000 0.5000
Hg: 0.5000 0.5000 0.0000
Ge: 0.0000 0.5000 0.5000
Ge: 0.5000 0.0000 0.5000

Properties
- N(E_F): 0.387 states/eV/atom
- Spin magnetization: 0.00 μB per formula unit
- Space-group type: P4/mmm
- Offset from the most stable computed form: 0 meV/atom
- Formation energy from the elements: -0.23 eV per atom
- ρ: 7.564 g/cm3

---

9.
Material: BaTlHgGe
Method: DFT, GGA-PBE
State: relaxed

abc: 5.5470 5.5470 5.5470
angles: 60.00 60.00 60.00
Positions (direct):
Ba: 0.0000 0.0000 0.0000
Tl: 0.5000 0.5000 0.5000
Hg: 0.7500 0.7500 0.7500
Ge: 0.2500 0.2500 0.2500

Properties
- N(E_F): 0.387 states/eV/atom
- Spin magnetization: 0.00 μB per formula unit
- Space-group type: F-43m
- Formation energy from the elements: -0.25 eV per atom
- ρ: 8.461 g/cm3

---

10.
Material: BaV2HgGe
Method: DFT, GGA-PBE
State: relaxed

abc: 5.2015 5.2015 6.0947
angles: 90.00 90.00 90.00
Positions (direct):
Ba: 0.0000 0.0000 0.0000
V: 0.0000 0.5000 0.5000
V: 0.5000 0.0000 0.5000
Hg: 0.0000 0.0000 0.5000
Ge: 0.5000 0.5000 0.0000

Properties
- N(E_F): 1.975 states/eV/atom
- Spin magnetization: 6.75 μB per formula unit
- Space-group type: P4/mmm
- Formation energy from the elements: 1.16 eV per atom
- ρ: 5.160 g/cm3

---

11.
Material: BaHoGe
Method: DFT, GGA-PBE
State: relaxed

abc: 5.0564 5.0564 7.7774
angles: 90.00 90.00 90.00
Positions (direct):
Ba: 0.2500 0.2500 0.1362
Ba: 0.7500 0.7500 0.8638
Ho: 0.2500 0.7500 0.5000
Ho: 0.7500 0.2500 0.5000
Ge: 0.2500 0.2500 0.6952
Ge: 0.7500 0.7500 0.3048

Properties
- N(E_F): 1.096 states/eV/atom
- Spin magnetization: 0.01 μB per formula unit
- Space-group type: P4/nmm
- Formation energy from the elements: -0.54 eV per atom
- ρ: 6.261 g/cm3

---

12.
Material: BaHo2GeN4
Method: DFT, GGA-PBE
State: relaxed

abc: 6.3527 6.3527 11.8376
angles: 90.00 90.00 148.49
Positions (direct):
Ba: 0.0898 0.9102 0.7500
Ba: 0.9102 0.0898 0.2500
Ho: 0.3693 0.6307 0.5393
Ho: 0.3693 0.6307 0.9607
Ho: 0.6307 0.3693 0.0393
Ho: 0.6307 0.3693 0.4607
Ge: 0.1814 0.8186 0.2500
Ge: 0.8186 0.1814 0.7500
N: 0.0000 0.0000 0.0000
N: 0.0000 0.0000 0.5000
N: 0.2577 0.7423 0.1161
N: 0.2577 0.7423 0.3839
N: 0.4058 0.5942 0.7500
N: 0.5942 0.4058 0.2500
N: 0.7423 0.2577 0.6161
N: 0.7423 0.2577 0.8839

Properties
- Uncorrected formation energy: -1.051 eV/atom
- Spin magnetization: 0.00 μB per formula unit
- Space-group type: Cmcm
- ρ: 7.925 g/cm3

---

Question: spin magnetization of number 12 (BaHo2GeN4)?
Answer: 0.00 μB per formula unit

---

Question: The highest ρ belongs to which entry?
Answer: Ba2SnHg6Ge

---

Question: Number 11 is which compound?
Answer: BaHoGe

---

Please write out number 1 again, unchanged.
Material: BaHg2GeSb
Method: DFT, GGA-PBE
State: relaxed

abc: 5.3941 5.3941 5.6856
angles: 90.00 90.00 90.00
Positions (direct):
Ba: 0.0000 0.0000 0.0000
Hg: 0.0000 0.5000 0.5000
Hg: 0.5000 0.0000 0.5000
Ge: 0.5000 0.5000 0.5000
Sb: 0.5000 0.5000 0.0000

Properties
- N(E_F): 0.517 states/eV/atom
- Uncorrected formation energy: -0.223 eV/atom
- Spin magnetization: 0.00 μB per formula unit
- Space-group type: P4/mmm
- ρ: 7.357 g/cm3